Entry from the Alexandria database: a PBEsol-optimized structure of CeSmMg2 (SCAN).

## Properties
- DFT total energy: -99.04 eV for the cell shown
- Magnetic moment: 1.12 μB per formula unit
- Density: 5.190 g/cm³

Cell lengths 5.353, 5.353, 5.353 Å; angles 60.00, 60.00, 60.00 degrees
Fractional positions:
1 Ce 0.500 0.500 0.500
2 Sm 0.000 0.000 0.000
3 Mg 0.750 0.750 0.750
4 Mg 0.250 0.250 0.250